# CdRh

CdRh after structural relaxation (PBE, the Alexandria database).

Symmetry   P4_2/mnm
Energy of formation from the pure elements   0.36 eV per atom
Calculated density   9.36 g/cm³
Total moment   0.00 μB per atom
Total DFT energy (no corrections)   -3.7697 eV/atom

Lattice parameters (Å, degrees): 5.3129 5.3129 5.4115 90.00 90.00 90.00
Closest atoms and distances in Å follow each position.
Atoms (fractional coordinates):
Cd 0.1918 0.1918 0.0000  6 Rh 2.70-2.78, 1 Cd 2.88
Cd 0.3083 0.6918 0.5000  6 Rh 2.70-2.78, 1 Cd 2.88
Cd 0.6918 0.3083 0.5000  6 Rh 2.70-2.78, 1 Cd 2.88
Cd 0.8082 0.8082 0.0000  6 Rh 2.70-2.78, 1 Cd 2.88
Rh 0.1838 0.1838 0.5000  6 Cd 2.70-2.78, 1 Rh 2.76
Rh 0.3162 0.6838 0.0000  6 Cd 2.70-2.78, 1 Rh 2.76
Rh 0.6838 0.3162 0.0000  6 Cd 2.70-2.78, 1 Rh 2.76
Rh 0.8162 0.8162 0.5000  6 Cd 2.70-2.78, 1 Rh 2.76

***

# KCaHgI5

KCaHgI5 after structural relaxation (PBE, the Alexandria database).

Symmetry   C2/c
Calculated density   4.09 g/cm³
Total moment   0.00 μB per atom
Total DFT energy (no corrections)   -2.4626 eV/atom
E_form (uncorrected)   -825 kJ/mol of formula units

Lattice parameters (Å, degrees): 8.5954 8.5954 11.4205 104.40 104.40 105.23
Closest atoms and distances in Å follow each position.
Atoms (fractional coordinates):
K 0.1552 0.8448 0.7500  5 I 3.55-3.66
K 0.8448 0.1552 0.2500  5 I 3.55-3.66
Ca 0.5000 0.5000 0.0000  6 I 3.08-3.20
Ca 0.5000 0.5000 0.5000  6 I 3.08-3.20
Hg 0.1812 0.8188 0.2500  4 I 2.85-2.88
Hg 0.8188 0.1812 0.7500  4 I 2.85-2.88
I 0.1299 0.2374 0.9490  1 Hg 2.88, 1 Ca 3.19
I 0.1643 0.5842 0.3879  1 Hg 2.85
I 0.2374 0.1299 0.4490  1 Hg 2.88, 1 Ca 3.19
I 0.4152 0.5848 0.7500  2 Ca 3.08
I 0.4158 0.8357 0.1121  1 Hg 2.85
I 0.5842 0.1643 0.8879  1 Hg 2.85
I 0.5848 0.4152 0.2500  2 Ca 3.08
I 0.7626 0.8701 0.5510  1 Hg 2.88, 1 Ca 3.19
I 0.8357 0.4158 0.6121  1 Hg 2.85
I 0.8701 0.7626 0.0510  1 Hg 2.88, 1 Ca 3.19

***

# GdMgAgSn

GdMgAgSn after structural relaxation (PBE, the Alexandria database).

Symmetry   F-43m
Energy of formation from the pure elements   -0.41 eV per atom
Calculated density   7.22 g/cm³
Total moment   1.76 μB per atom
Total DFT energy (no corrections)   -6.0403 eV/atom

Lattice parameters (Å, degrees): 5.1010 5.1010 5.1010 60.00 60.00 60.00
Closest atoms and distances in Å follow each position.
Atoms (fractional coordinates):
Gd 0.0000 0.0000 0.0000  4 Sn 3.12, 4 Ag 3.12
Mg 0.5000 0.5000 0.5000  4 Sn 3.12, 4 Ag 3.12
Ag 0.7500 0.7500 0.7500  4 Gd 3.12, 4 Mg 3.12
Sn 0.2500 0.2500 0.2500  4 Gd 3.12, 4 Mg 3.12

***

# BaTl2SiS4

BaTl2SiS4 after structural relaxation (PBE, the Alexandria database).

Symmetry   Imma
Calculated density   5.19 g/cm³
Total moment   0.00 μB per atom
Total DFT energy (no corrections)   -4.2429 eV/atom
E_form (uncorrected)   -517 kJ/mol of formula units

Lattice parameters (Å, degrees): 8.4469 8.4469 8.4469 121.04 103.67 104.37
Closest atoms and distances in Å follow each position.
Atoms (fractional coordinates):
Ba 0.0000 0.0000 0.0000  8 S 3.29-3.34
Ba 0.5000 0.0000 0.5000  8 S 3.29-3.34
Tl 0.0000 0.5000 0.5000  8 S 3.34-3.43
Tl 0.5000 0.0000 0.0000  4 S 2.97-3.00
Tl 0.5000 0.5000 0.0000  8 S 3.34-3.43
Tl 0.5000 0.5000 0.5000  4 S 2.97-3.00
Si 0.0000 0.0000 0.5000  4 S 2.22
Si 0.0000 0.5000 0.0000  4 S 2.22
S 0.2125 0.0000 0.7125  1 Si 2.22
S 0.2125 0.5000 0.2125  1 Si 2.22
S 0.2139 0.2007 0.4869  1 Si 2.22
S 0.2139 0.7270 0.0131  1 Si 2.22
S 0.7861 0.2730 0.9869  1 Si 2.22
S 0.7861 0.7993 0.5131  1 Si 2.22
S 0.7875 0.0000 0.2875  1 Si 2.22
S 0.7875 0.5000 0.7875  1 Si 2.22

***

Q: Among the records above, which one has the highest total DFT energy (no corrections)?
A: KCaHgI5

***

Q: Among the records above, which one has the highest calculated density?
A: CdRh